The following is a PBE calculation of crystalline Ac4Al5Zn2 at its relaxed geometry, from Alexandria via LeMat-Bulk.

E_tot = -3.68 eV per atom
Space group = P2/m

Cell: 7.3190 4.9371 8.5411 Å, 90.00 94.08 90.00°
Positions (direct):
Ac  0.2134  0.0000  0.1437
Ac  0.2752  0.0000  0.6380
Ac  0.7248  0.0000  0.3620
Ac  0.7866  0.0000  0.8563
Al  0.1336  0.5000  0.8902
Al  0.4060  0.5000  0.3612
Al  0.5000  0.5000  0.0000
Al  0.5940  0.5000  0.6388
Al  0.8664  0.5000  0.1098
Zn  0.0579  0.5000  0.3699
Zn  0.9421  0.5000  0.6301

=====

The following is a PBE calculation of crystalline AcAlZn2 at its relaxed geometry, from Alexandria via LeMat-Bulk.

E_tot = -2.61 eV per atom
Space group = Cmmm

Cell: 6.3006 7.2186 4.5134 Å, 90.00 90.00 90.00°
Positions (direct):
Ac  0.0000  0.0000  0.0000
Ac  0.5000  0.5000  0.0000
Al  0.0000  0.5000  0.0000
Al  0.5000  0.0000  0.0000
Zn  0.0000  0.3218  0.5000
Zn  0.0000  0.6782  0.5000
Zn  0.5000  0.1782  0.5000
Zn  0.5000  0.8218  0.5000